VASP calculation (PBE) on a geometry-optimized CdPt4Pb structure.

POSCAR file:
```
CdPt4Pb
1.0
0.0000 3.8447 3.8447
3.8447 0.0000 3.8447
3.8447 3.8447 0.0000
Cd Pt Pb
1 4 1
Direct
0.0000 0.0000 0.0000
0.1243 0.6252 0.6252
0.6252 0.1243 0.6252
0.6252 0.6252 0.1243
0.6252 0.6252 0.6252
0.2500 0.2500 0.2500
```

Output
ρ in Mg/m³: 16.07
ΔE_f in eV per atom: -0.1604
Uncorrected energy in eV/atom: -4.96
V in A^3/atom: 18.9

VASP calculation (PBE) on a geometry-optimized CdPt2Pb8 structure.

POSCAR file:
```
CdPt2Pb8
1.0
6.9681 -4.4782 0.0000
6.9681 4.4782 0.0000
-2.2343 0.0000 5.2095
Cd Pt Pb
1 2 8
Direct
0.0000 0.0000 0.0000
0.2147 0.2147 0.1451
0.7853 0.7853 0.8549
0.1483 0.1483 0.5790
0.1706 0.5746 0.0601
0.3995 0.3995 0.5973
0.4254 0.8294 0.9399
0.5746 0.1706 0.0601
0.6005 0.6005 0.4027
0.8294 0.4254 0.9399
0.8517 0.8517 0.4210
```

Output
ρ in Mg/m³: 11.03
ΔE_f in eV per atom: -0.0020
Uncorrected energy in eV/atom: -3.88
V in A^3/atom: 29.6

VASP calculation (PBE) on a geometry-optimized CdPtPb4 structure.

POSCAR file:
```
CdPtPb4
1.0
0.0000 4.4616 4.4616
4.4616 0.0000 4.4616
4.4616 4.4616 0.0000
Cd Pt Pb
1 1 4
Direct
0.0000 0.0000 0.0000
0.2500 0.2500 0.2500
0.1264 0.6246 0.6246
0.6246 0.1264 0.6246
0.6246 0.6246 0.1264
0.6246 0.6246 0.6246
```

Output
ρ in Mg/m³: 10.62
ΔE_f in eV per atom: 0.4934
Uncorrected energy in eV/atom: -3.14
V in A^3/atom: 29.6

VASP calculation (PBE) on a geometry-optimized Cd2Pt2Pb structure.

POSCAR file:
```
Cd2Pt2Pb
1.0
-2.0298 2.0298 6.6549
2.0298 -2.0298 6.6549
2.0298 2.0298 -6.6549
Cd Pt Pb
2 2 1
Direct
0.1101 0.1101 0.0000
0.8899 0.8899 0.0000
0.2500 0.7500 0.5000
0.7500 0.2500 0.5000
0.5000 0.5000 0.0000
```

Output
ρ in Mg/m³: 12.45
ΔE_f in eV per atom: 0.0073
Uncorrected energy in eV/atom: -3.52
V in A^3/atom: 21.9
Polymorph energy (0 for the lowest one) in meV per atom: 216

VASP calculation (PBE) on a geometry-optimized CdPt9Pb2 structure.

POSCAR file:
```
CdPt9Pb2
1.0
4.0932 0.0000 0.0000
0.0000 4.0932 0.0000
0.0000 0.0000 12.3313
Cd Pt Pb
1 9 2
Direct
0.0000 0.0000 0.0000
0.0000 0.5000 0.1608
0.0000 0.5000 0.5000
0.0000 0.5000 0.8392
0.5000 0.0000 0.1608
0.5000 0.0000 0.5000
0.5000 0.0000 0.8392
0.5000 0.5000 0.0000
0.5000 0.5000 0.3331
0.5000 0.5000 0.6669
0.0000 0.0000 0.3276
0.0000 0.0000 0.6724
```

Output
ρ in Mg/m³: 18.35
ΔE_f in eV per atom: -0.1378
Uncorrected energy in eV/atom: -5.36
V in A^3/atom: 17.2

VASP calculation (PBE) on a geometry-optimized Cd4PtPb structure.

POSCAR file:
```
Cd4PtPb
1.0
0.0000 4.0460 4.0460
4.0460 0.0000 4.0460
4.0460 4.0460 0.0000
Cd Pt Pb
4 1 1
Direct
0.3758 0.3758 0.3758
0.3758 0.3758 0.8726
0.3758 0.8726 0.3758
0.8726 0.3758 0.3758
0.7500 0.7500 0.7500
0.0000 0.0000 0.0000
```

Output
ρ in Mg/m³: 10.68
ΔE_f in eV per atom: 0.1022
Uncorrected energy in eV/atom: -2.13
V in A^3/atom: 22.1

VASP calculation (PBE) on a geometry-optimized Cd2Pt2Pb structure.

POSCAR file:
```
Cd2Pt2Pb
1.0
-2.0397 2.0397 6.5205
2.0397 -2.0397 6.5205
2.0397 2.0397 -6.5205
Cd Pt Pb
2 2 1
Direct
0.2500 0.7500 0.5000
0.7500 0.2500 0.5000
0.1014 0.1014 0.0000
0.8986 0.8986 0.0000
0.5000 0.5000 0.0000
```

Output
ρ in Mg/m³: 12.58
ΔE_f in eV per atom: -0.1427
Uncorrected energy in eV/atom: -3.67
V in A^3/atom: 21.7
Polymorph energy (0 for the lowest one) in meV per atom: 66

VASP calculation (PBE) on a geometry-optimized Cd2Pt2Pb structure.

POSCAR file:
```
Cd2Pt2Pb
1.0
8.1568 0.0000 0.0000
0.0000 8.1568 0.0000
0.0000 0.0000 3.0617
Cd Pt Pb
4 4 2
Direct
0.1359 0.3641 0.0000
0.3641 0.8641 0.0000
0.6359 0.1359 0.0000
0.8641 0.6359 0.0000
0.1603 0.6603 0.5000
0.3397 0.1603 0.5000
0.6603 0.8397 0.5000
0.8397 0.3397 0.5000
0.0000 0.0000 0.5000
0.5000 0.5000 0.5000
```

Output
ρ in Mg/m³: 13.40
ΔE_f in eV per atom: -0.2088
Uncorrected energy in eV/atom: -3.73
V in A^3/atom: 20.4
Polymorph energy (0 for the lowest one) in meV per atom: 0